(1)
Entry from Alexandria: Cr3SiI after structural relaxation (PBE).

Cell: 4.613 4.613 4.613 Å, 90.00 90.00 90.00°
Space group Pm-3m (No. 221)
Inequivalent atoms, fractional coordinates:
1 Cr 0.000 0.000 0.500
2 Si 0.500 0.500 0.500
3 I 0.000 0.000 0.000

* DOS(E_F): 2.308 states/eV per atom
* formation energy (no corrections): 2162 meV per atom
* total magnetic moment: 0.001 μB/f.u.
* distance to the lowest polymorph of the same formula: 1.366 eV/atom



(2)
Entry from Alexandria: CrSiI2 after structural relaxation (PBE).

Cell: 7.847 7.847 7.588 Å, 90.00 90.00 90.00°
Space group I-42d (No. 122)
Inequivalent atoms, fractional coordinates:
1 Cr 0.000 0.000 0.000
2 Si 0.000 0.000 0.500
3 I 0.230 0.250 0.125

* DOS(E_F): 0.164 states/eV per atom
* formation energy (no corrections): 603 meV per atom
* total magnetic moment: 4.034 μB/f.u.
* distance to the lowest polymorph of the same formula: 0.000 eV/atom



(3)
Entry from Alexandria: CrSi2I after structural relaxation (PBE).

Cell: 4.766 4.766 16.678 Å, 90.00 90.00 90.00°
Space group I-42d (No. 122)
Inequivalent atoms, fractional coordinates:
1 Cr 0.000 0.000 0.000
2 Si 0.036 0.250 0.125
3 I 0.000 0.000 0.500

* DOS(E_F): 0.739 states/eV per atom
* formation energy (no corrections): 735 meV per atom
* total magnetic moment: 2.262 μB/f.u.
* distance to the lowest polymorph of the same formula: 0.000 eV/atom



(4)
Entry from Alexandria: CrSi3I after structural relaxation (PBE).

Cell: 4.682 4.682 4.682 Å, 90.00 90.00 90.00°
Space group Pm-3m (No. 221)
Inequivalent atoms, fractional coordinates:
1 Cr 0.000 0.000 0.000
2 Si 0.000 0.000 0.500
3 I 0.500 0.500 0.500

* DOS(E_F): 0.583 states/eV per atom
* formation energy (no corrections): 477 meV per atom
* total magnetic moment: 1.000 μB/f.u.
* distance to the lowest polymorph of the same formula: 0.000 eV/atom



(5)
Entry from Alexandria: Cr3SiI after structural relaxation (PBE).

Cell: 4.874 4.874 4.874 Å, 90.00 90.00 90.00°
Space group Pm-3m (No. 221)
Inequivalent atoms, fractional coordinates:
1 Cr 0.000 0.000 0.500
2 Si 0.000 0.000 0.000
3 I 0.500 0.500 0.500

* DOS(E_F): 0.469 states/eV per atom
* formation energy (no corrections): 796 meV per atom
* total magnetic moment: 12.932 μB/f.u.
* distance to the lowest polymorph of the same formula: 0.000 eV/atom



(6)
Entry from Alexandria: CrSi2I2 after structural relaxation (PBE).

Cell: 6.047 6.047 7.408 Å, 90.00 90.00 90.00°
Space group I4/mmm (No. 139)
Inequivalent atoms, fractional coordinates:
1 Cr 0.000 0.000 0.000
2 Si 0.000 0.000 0.339
3 I 0.000 0.500 0.250

* DOS(E_F): 0.408 states/eV per atom
* formation energy (no corrections): 668 meV per atom
* total magnetic moment: 4.433 μB/f.u.
* distance to the lowest polymorph of the same formula: 0.077 eV/atom



(7)
Entry from Alexandria: Cr2SiI after structural relaxation (PBE).

Cell: 5.643 5.643 13.087 Å, 90.00 90.00 90.00°
Space group I-42d (No. 122)
Inequivalent atoms, fractional coordinates:
1 Cr 0.188 0.250 0.125
2 Si 0.000 0.000 0.000
3 I 0.000 0.000 0.500

* DOS(E_F): 0.255 states/eV per atom
* formation energy (no corrections): 647 meV per atom
* total magnetic moment: 7.000 μB/f.u.
* distance to the lowest polymorph of the same formula: 0.000 eV/atom



(8)
Entry from Alexandria: Cr2SiI after structural relaxation (PBE).

Cell: 6.163 6.163 6.163 Å, 90.00 90.00 90.00°
Space group Fm-3m (No. 225)
Inequivalent atoms, fractional coordinates:
1 Cr 0.250 0.250 0.250
2 Si 0.000 0.000 0.000
3 I 0.000 0.000 0.500

* DOS(E_F): 1.200 states/eV per atom
* formation energy (no corrections): 748 meV per atom
* total magnetic moment: 1.387 μB/f.u.
* distance to the lowest polymorph of the same formula: 0.101 eV/atom